Entry 1:
Material: Mg2CuRh
Method: DFT, GGA-PBEsol
State: optimized geometry

```
Mg2CuRh
1.0
-1.911 1.911 4.049
1.911 -1.911 4.049
1.911 1.911 -4.049
Mg Cu Rh
2 1 1
Direct
0.000 0.000 0.000
0.750 0.250 0.500
0.250 0.750 0.500
0.500 0.500 0.000
```

- space group = I-4m2
- ΔH_f (0 K) (eV/atom) = -0.205
- theoretical density (g cm⁻³) = 6.04
- total magnetic moment (μB/cell) = 0.00
- electronic total energy (eV/atom) = -4.18

=====

Entry 2:
Material: RhAuNF2
Method: DFT, GGA-PBEsol
State: optimized geometry

```
RhAuNF2
1.0
4.241 0.000 0.000
0.000 4.241 0.000
0.000 0.000 3.626
Rh Au N F
1 1 1 2
Direct
0.000 0.000 0.000
0.500 0.500 0.500
0.000 0.000 0.500
0.000 0.500 0.000
0.500 0.000 0.000
```

- space group = P4/mmm
- distance to the lowest polymorph of the same formula (meV/atom) = 0
- theoretical density (g cm⁻³) = 8.96
- total magnetic moment (μB/cell) = 0.00
- formation energy from raw total energies (eV/atom) = -0.0154
- electronic total energy (eV/atom) = -4.90

=====

Entry 3:
Material: Co2Re
Method: DFT, GGA-PBEsol
State: optimized geometry

```
Co2Re
1.0
3.796 -2.203 0.000
3.796 2.203 0.000
0.000 0.000 4.082
Co Re
4 2
Direct
0.006 0.337 0.250
0.337 0.006 0.750
0.663 0.994 0.250
0.994 0.663 0.750
0.316 0.684 0.250
0.684 0.316 0.750
```

- space group = Cmcm
- distance to the lowest polymorph of the same formula (meV/atom) = 0
- ΔH_f (0 K) (eV/atom) = -0.088
- theoretical density (g cm⁻³) = 14.79
- total magnetic moment (μB/cell) = 0.83
- electronic total energy (eV/atom) = -9.69

=====

Entry 4:
Material: SrMo2Se
Method: DFT, GGA-PBEsol
State: optimized geometry

```
SrMo2Se
1.0
-1.938 1.938 5.334
1.938 -1.938 5.334
1.938 1.938 -5.334
Sr Mo Se
1 2 1
Direct
0.000 0.000 0.000
0.250 0.750 0.500
0.750 0.250 0.500
0.500 0.500 0.000
```

- space group = I4/mmm
- theoretical density (g cm⁻³) = 7.43
- total magnetic moment (μB/cell) = 0.00
- formation energy from raw total energies (eV/atom) = 0.6128
- electronic total energy (eV/atom) = -6.69

=====

Entry 5:
Material: CdSi3O
Method: DFT, GGA-PBEsol
State: optimized geometry

```
CdSi3O
1.0
4.241 0.000 0.000
0.000 4.241 0.000
0.000 0.000 4.241
Cd Si O
1 3 1
Direct
0.000 0.000 0.000
0.000 0.500 0.500
0.500 0.000 0.500
0.500 0.500 0.000
0.500 0.500 0.500
```

- space group = Pm-3m
- theoretical density (g cm⁻³) = 4.63
- total magnetic moment (μB/cell) = 0.00
- formation energy from raw total energies (eV/atom) = 0.1474
- electronic total energy (eV/atom) = -4.59

=====

Entry 6:
Material: MgInNi2
Method: DFT, GGA-PBEsol
State: optimized geometry

```
MgInNi2
1.0
3.116 0.000 0.000
0.000 3.116 0.000
0.000 0.000 5.855
Mg In Ni
1 1 2
Direct
0.000 0.000 0.000
0.000 0.000 0.500
0.500 0.500 0.251
0.500 0.500 0.749
```

- space group = P4/mmm
- ΔH_f (0 K) (eV/atom) = -0.150
- theoretical density (g cm⁻³) = 7.49
- total magnetic moment (μB/cell) = 0.00
- electronic total energy (eV/atom) = -4.40

=====

Entry 7:
Material: CrCS3
Method: DFT, GGA-PBEsol
State: optimized geometry

```
CrCS3
1.0
4.024 0.000 0.000
0.000 4.024 0.000
0.000 0.000 4.024
Cr C S
1 1 3
Direct
0.000 0.000 0.000
0.500 0.500 0.500
0.000 0.500 0.500
0.500 0.000 0.500
0.500 0.500 0.000
```

- space group = Pm-3m
- theoretical density (g cm⁻³) = 4.08
- total magnetic moment (μB/cell) = 3.03
- formation energy from raw total energies (eV/atom) = 0.9832
- electronic total energy (eV/atom) = -5.62

=====

Entry 8:
Material: TeAu3F
Method: DFT, GGA-PBEsol
State: optimized geometry

```
TeAu3F
1.0
4.582 0.000 0.000
0.000 4.582 0.000
0.000 0.000 4.582
Te Au F
1 3 1
Direct
0.000 0.000 0.000
0.000 0.500 0.500
0.500 0.000 0.500
0.500 0.500 0.000
0.500 0.500 0.500
```

- space group = Pm-3m
- theoretical density (g cm⁻³) = 12.73
- total magnetic moment (μB/cell) = 0.00
- formation energy from raw total energies (eV/atom) = 0.3388
- electronic total energy (eV/atom) = -3.11

=====

Entry 9:
Material: CrMoNF2
Method: DFT, GGA-PBEsol
State: optimized geometry

```
CrMoNF2
1.0
4.086 0.000 0.000
0.000 4.086 0.000
0.000 0.000 3.886
Cr Mo N F
1 1 1 2
Direct
0.000 0.000 0.000
0.500 0.500 0.500
0.500 0.500 0.000
0.000 0.500 0.500
0.500 0.000 0.500
```

- space group = P4/mmm
- distance to the lowest polymorph of the same formula (meV/atom) = 0
- theoretical density (g cm⁻³) = 5.12
- total magnetic moment (μB/cell) = 5.77
- formation energy from raw total energies (eV/atom) = -0.5552
- electronic total energy (eV/atom) = -7.43

=====

Entry 10:
Material: Te2RuNO
Method: DFT, GGA-PBEsol
State: optimized geometry

```
Te2RuNO
1.0
5.214 0.000 0.000
0.000 5.214 0.000
0.000 0.000 3.545
Te Ru N O
2 1 1 1
Direct
0.000 0.500 0.000
0.500 0.000 0.000
0.000 0.000 0.000
0.000 0.000 0.500
0.500 0.500 0.500
```

- space group = P4/mmm
- distance to the lowest polymorph of the same formula (meV/atom) = 0
- theoretical density (g cm⁻³) = 6.65
- total magnetic moment (μB/cell) = 0.00
- formation energy from raw total energies (eV/atom) = 0.6584
- electronic total energy (eV/atom) = -5.54

=====

Entry 11:
Material: NaEuO2
Method: DFT, GGA-PBEsol
State: optimized geometry

```
NaEuO2
1.0
1.736 1.002 5.502
-1.736 1.002 5.502
0.000 -2.005 5.502
Na Eu O
1 1 2
Direct
0.000 0.000 0.000
0.500 0.500 0.500
0.239 0.239 0.239
0.761 0.761 0.761
```

- space group = R-3m
- theoretical density (g cm⁻³) = 5.98
- total magnetic moment (μB/cell) = 6.00
- formation energy from raw total energies (eV/atom) = -2.3524
- electronic total energy (eV/atom) = -7.97

=====

Entry 12:
Material: Rb2FeH12S2O14
Method: DFT, GGA-PBEsol
State: optimized geometry

```
Rb2FeH12S2O14
1.0
6.242 0.000 0.000
0.000 12.292 0.000
-2.326 0.000 8.779
Rb Fe H S O
4 2 24 4 28
Direct
0.160 0.153 0.370
0.160 0.347 0.870
0.840 0.653 0.130
0.840 0.847 0.630
0.500 0.000 0.000
0.500 0.500 0.500
0.162 0.562 0.606
0.162 0.938 0.106
0.174 0.095 0.785
0.174 0.405 0.285
0.175 0.646 0.473
0.175 0.854 0.973
0.410 0.128 0.753
0.410 0.372 0.253
0.415 0.599 0.218
0.415 0.901 0.718
0.483 0.691 0.345
0.483 0.809 0.845
0.517 0.191 0.155
0.517 0.309 0.655
0.585 0.099 0.282
0.585 0.401 0.782
0.590 0.628 0.747
0.590 0.872 0.247
0.825 0.146 0.027
0.825 0.354 0.527
0.826 0.595 0.715
0.826 0.905 0.215
0.838 0.062 0.894
0.838 0.438 0.394
0.226 0.638 0.902
0.226 0.862 0.402
0.774 0.138 0.598
0.774 0.362 0.098
0.087 0.734 0.912
0.087 0.766 0.412
0.102 0.569 0.772
0.102 0.931 0.272
0.207 0.569 0.507
0.207 0.931 0.007
0.265 0.572 0.043
0.265 0.928 0.543
0.331 0.117 0.834
0.331 0.383 0.334
0.441 0.674 0.874
0.441 0.826 0.374
0.485 0.115 0.179
0.485 0.385 0.679
0.515 0.615 0.321
0.515 0.885 0.821
0.559 0.174 0.626
0.559 0.326 0.126
0.669 0.617 0.666
0.669 0.883 0.166
0.735 0.072 0.457
0.735 0.428 0.957
0.793 0.069 0.993
0.793 0.431 0.493
0.898 0.069 0.728
0.898 0.431 0.228
0.913 0.234 0.588
0.913 0.266 0.088
```

- space group = P2_1/c
- theoretical density (g cm⁻³) = 2.60
- total magnetic moment (μB/cell) = 8.00
- electronic total energy (eV/atom) = -5.59